# 1
Entry from Alexandria via LeMat-Bulk: an optimized crystal structure of La3PmTm2As6 (PBE-GGA).

a b c (Å): 7.366 7.366 7.356
angles (deg): 99.61 99.61 120.00
Positions (direct):
La1 0.000 0.000 0.000
La2 0.335 0.665 0.000
La3 0.665 0.335 0.000
Pm1 0.500 0.500 0.500
Tm1 0.167 0.833 0.500
Tm2 0.833 0.167 0.500
As1 0.082 0.421 0.263
As2 0.239 0.239 0.736
As3 0.421 0.082 0.263
As4 0.579 0.918 0.737
As5 0.761 0.761 0.264
As6 0.918 0.579 0.737

Values from the calculation:
Total magnetization ... 0.00 μB per cell
DOS at the Fermi energy ... 1.3 states/eV/f.u.
Energy relative to the elements ... -1.527 eV/atom

# 2
Entry from Alexandria via LeMat-Bulk: an optimized crystal structure of LaPmTm2As4 (PBE-GGA).

a b c (Å): 7.241 4.191 7.256
angles (deg): 90.00 109.49 90.00
Positions (direct):
La1 0.000 0.000 0.000
Pm1 0.000 0.500 0.500
Tm1 0.500 0.000 0.500
Tm2 0.500 0.500 0.000
As1 0.263 0.000 0.752
As2 0.265 0.500 0.258
As3 0.735 0.500 0.742
As4 0.737 0.000 0.248

Values from the calculation:
Total magnetization ... 0.00 μB per cell
DOS at the Fermi energy ... 0.9 states/eV/f.u.
Energy relative to the elements ... -1.514 eV/atom

# 3
Entry from Alexandria via LeMat-Bulk: an optimized crystal structure of LaPm2TmAs4 (PBE-GGA).

a b c (Å): 7.324 4.236 7.331
angles (deg): 90.00 109.43 90.00
Positions (direct):
La1 0.000 0.000 0.000
Pm1 0.000 0.500 0.500
Pm2 0.500 0.000 0.500
Tm1 0.500 0.500 0.000
As1 0.258 0.500 0.251
As2 0.259 0.000 0.755
As3 0.741 0.000 0.245
As4 0.742 0.500 0.749

Values from the calculation:
Total magnetization ... 0.00 μB per cell
DOS at the Fermi energy ... 0.7 states/eV/f.u.
Energy relative to the elements ... -1.513 eV/atom

# 4
Entry from Alexandria via LeMat-Bulk: an optimized crystal structure of LaPmY2As4 (PBE-GGA).

a b c (Å): 7.296 4.220 7.306
angles (deg): 90.00 109.48 90.00
Positions (direct):
La1 0.000 0.000 0.000
Pm1 0.000 0.500 0.500
Y1 0.500 0.000 0.500
Y2 0.500 0.500 0.000
As1 0.258 0.000 0.750
As2 0.261 0.500 0.256
As3 0.739 0.500 0.744
As4 0.742 0.000 0.250

Values from the calculation:
Total magnetization ... 0.00 μB per cell
DOS at the Fermi energy ... 0.9 states/eV/f.u.
Energy relative to the elements ... -1.547 eV/atom